Model w:
Entry from Alexandria: a relaxed LaZnCl2 crystal (GGA-PBEsol).

Unit cell a=3.8147 b=5.0749 c=5.4471 alpha=104.28 beta=90.00 gamma=112.08
With the nearest neighbours (Å) after each atom.
Atoms (fractional coordinates):
Zn1 0.5000 0.0000 0.0000  6 Cl 2.95-3.21
Cl1 0.7302 0.4604 0.7225  3 La 2.90-3.09, 3 Zn 2.95-3.21, 2 Cl 3.18
Cl2 0.2698 0.5396 0.2775  3 La 2.90-3.09, 3 Zn 2.95-3.21, 2 Cl 3.18
La1 0.0000 0.0000 0.5000  6 Cl 2.90-3.09

Results
crystal system	monoclinic
calculated density	4.9	g/cm3
space group	C2/m
M_tot	0.00	μB/f.u.



Model x:
Entry from Alexandria: a relaxed LaZnCl2 crystal (GGA-PBEsol).

Unit cell a=4.9833 b=4.9833 c=4.9833 alpha=60.00 beta=60.00 gamma=60.00
With the nearest neighbours (Å) after each atom.
Atoms (fractional coordinates):
Zn1 0.5000 0.5000 0.5000  8 Cl 3.05
Cl1 0.2500 0.2500 0.2500  4 Zn 3.05, 4 La 3.05
Cl2 0.7500 0.7500 0.7500  4 Zn 3.05, 4 La 3.05
La1 0.0000 0.0000 0.0000  8 Cl 3.05

Results
crystal system	cubic
calculated density	5.2	g/cm3
space group	Fm-3m
M_tot	0.85	μB/f.u.



Q: Which of them is the least stable? A: model x.



Model w:
Entry from Alexandria: a relaxed LaZrCl2 crystal (GGA-PBEsol).

Unit cell a=3.2843 b=4.4119 c=6.9319 alpha=108.43 beta=103.70 gamma=90.00
With the nearest neighbours (Å) after each atom.
Atoms (fractional coordinates):
Cl1 0.0067 0.0066 0.0135  1 Zr 2.60, 4 La 2.76-2.77
Cl2 0.7531 0.7529 0.5062  4 Zr 2.80, 1 La 2.85
Zr1 0.2111 0.2119 0.4223  5 Cl 2.60-2.80
La1 0.5290 0.5286 0.0580  5 Cl 2.76-2.85

Results
crystal system	monoclinic
calculated density	5.4	g/cm3
space group	Cm
M_tot	0.00	μB/f.u.



Model x:
Entry from Alexandria: a relaxed LaZrCl2 crystal (GGA-PBEsol).

Unit cell a=3.9173 b=3.4135 c=6.8598 alpha=104.41 beta=106.59 gamma=90.00
With the nearest neighbours (Å) after each atom.
Atoms (fractional coordinates):
Cl1 0.0623 0.0623 0.1246  2 Zr 2.68, 4 La 2.91
Cl2 0.2726 0.7726 0.5451  4 Zr 2.73, 2 La 2.92
Zr1 0.7063 0.2063 0.4127  6 Cl 2.68-2.73
La1 0.4588 0.4588 0.9175  6 Cl 2.91-2.92

Results
crystal system	orthorhombic
calculated density	5.9	g/cm3
space group	Imm2
M_tot	0.00	μB/f.u.



Q: Which of them is the least stable? A: model w.



Model w:
Entry from Alexandria: a relaxed Li2MgCl crystal (GGA-PBEsol).

Unit cell a=6.0824 b=6.0824 c=6.0824 alpha=107.27 beta=107.27 gamma=113.97
With the nearest neighbours (Å) after each atom.
Atoms (fractional coordinates):
Mg1 0.5000 0.5000 0.0000  8 Li 3.08-3.32, 2 Cl 3.31
Mg2 0.7500 0.2500 0.5000  8 Li 3.08-3.32, 2 Cl 3.31
Li1 0.6250 0.7015 0.5765  2 Cl 2.35
Li2 0.1250 0.0485 0.4235  2 Cl 2.35
Li3 0.9515 0.3750 0.0765  2 Cl 2.35
Li4 0.2985 0.8750 0.9235  2 Cl 2.35
Cl1 0.0000 0.0000 0.0000  4 Li 2.35
Cl2 0.2500 0.7500 0.5000  4 Li 2.35

Results
crystal system	tetragonal
calculated density	1.4	g/cm3
space group	I-42d
M_tot	0.00	μB/f.u.



Model x:
Entry from Alexandria: a relaxed Li2MgCl crystal (GGA-PBEsol).

Unit cell a=3.3114 b=3.3124 c=8.5121 alpha=101.23 beta=90.00 gamma=119.99
With the nearest neighbours (Å) after each atom.
Atoms (fractional coordinates):
Mg1 0.5000 0.0000 0.0000  6 Li 3.25, 6 Mg 3.31
Li1 0.7272 0.4545 0.6831  3 Cl 2.44
Li2 0.2728 0.5455 0.3169  3 Cl 2.44
Cl1 0.0000 0.0000 0.5000  6 Li 2.44

Results
crystal system	trigonal
calculated density	1.6	g/cm3
space group	R-3m
M_tot	0.00	μB/f.u.



Q: Which of them is the least stable? A: model w.



Model w:
Entry from Alexandria: a relaxed LiMg2Cl crystal (GGA-PBEsol).

Unit cell a=5.7596 b=6.3454 c=6.3454 alpha=78.11 beta=63.01 gamma=63.01
With the nearest neighbours (Å) after each atom.
Atoms (fractional coordinates):
Mg1 0.8750 0.0421 0.4579  2 Cl 2.70, 2 Mg 2.96
Mg2 0.3750 0.9579 0.5421  2 Cl 2.70, 2 Mg 2.96
Mg3 0.6671 0.4579 0.9579  2 Cl 2.70, 2 Mg 2.96
Mg4 0.0829 0.5421 0.0421  2 Cl 2.70, 2 Mg 2.96
Li1 0.5000 0.0000 0.0000  2 Cl 2.88, 4 Mg 3.16
Li2 0.2500 0.5000 0.5000  2 Cl 2.88, 4 Mg 3.16
Cl1 0.0000 0.0000 0.0000  4 Mg 2.70, 2 Li 2.88
Cl2 0.7500 0.5000 0.5000  4 Mg 2.70, 2 Li 2.88

Results
crystal system	tetragonal
calculated density	1.6	g/cm3
space group	I-42d
M_tot	0.00	μB/f.u.



Model x:
Entry from Alexandria: a relaxed LiMg2Cl crystal (GGA-PBEsol).

Unit cell a=3.9683 b=3.9683 c=6.2686 alpha=108.45 beta=108.45 gamma=90.00
With the nearest neighbours (Å) after each atom.
Atoms (fractional coordinates):
Cl1 0.5000 0.5000 0.0000  4 Li 2.81
Li1 0.0000 0.0000 0.0000  4 Cl 2.81
Mg1 0.7500 0.2500 0.5000  4 Mg 2.81
Mg2 0.2500 0.7500 0.5000  4 Mg 2.81

Results
crystal system	tetragonal
calculated density	1.7	g/cm3
space group	I4/mmm
M_tot	0.00	μB/f.u.



Model y:
Entry from Alexandria: a relaxed LiMg2Cl crystal (GGA-PBEsol).

Unit cell a=3.3342 b=3.3342 c=8.7248 alpha=78.98 beta=78.98 gamma=60.00
With the nearest neighbours (Å) after each atom.
Atoms (fractional coordinates):
Cl1 0.5000 0.5000 0.5000  6 Mg 2.77
Li1 0.0000 0.0000 0.0000  6 Mg 2.97
Mg1 0.2448 0.2448 0.2655  3 Cl 2.77, 3 Li 2.97
Mg2 0.7552 0.7552 0.7345  3 Cl 2.77, 3 Li 2.97

Results
crystal system	trigonal
calculated density	1.8	g/cm3
space group	R-3m
M_tot	0.00	μB/f.u.



Q: Which of them is the least stable? A: model w.



Model w:
Entry from Alexandria: a relaxed LiMgP2Cl crystal (GGA-PBEsol).

Unit cell a=4.8437 b=4.8437 c=5.0662 alpha=90.00 beta=90.00 gamma=90.00
With the nearest neighbours (Å) after each atom.
Atoms (fractional coordinates):
P1 0.0000 0.5000 0.0000  2 Mg 2.42
P2 0.5000 0.0000 0.0000  2 Mg 2.42
Mg1 0.0000 0.0000 0.0000  4 P 2.42, 2 Cl 2.53
Li1 0.5000 0.5000 0.5000  4 Cl 3.43, 8 P 3.50
Cl1 0.0000 0.0000 0.5000  2 Mg 2.53

Results
crystal system	tetragonal
calculated density	1.8	g/cm3
space group	P4/mmm
M_tot	1.72	μB/f.u.



Model x:
Entry from Alexandria: a relaxed LiMgP2Cl crystal (GGA-PBEsol).

Unit cell a=4.2259 b=4.2259 c=5.1304 alpha=90.00 beta=90.00 gamma=90.00
With the nearest neighbours (Å) after each atom.
Atoms (fractional coordinates):
P1 0.0000 0.5000 0.0000  2 Li 2.11
P2 0.5000 0.0000 0.0000  2 Li 2.11
Mg1 0.5000 0.5000 0.5000  4 Cl 2.99, 8 P 3.32
Li1 0.0000 0.0000 0.0000  4 P 2.11
Cl1 0.0000 0.0000 0.5000  2 Li 2.57

Results
crystal system	tetragonal
calculated density	2.3	g/cm3
space group	P4/mmm
M_tot	0.00	μB/f.u.



Q: Which of them is the least stable? A: model x.



Model w:
Entry from Alexandria: a relaxed LiMnCl crystal (GGA-PBEsol).

Unit cell a=3.1761 b=3.1761 c=5.7793 alpha=90.00 beta=90.00 gamma=120.00
With the nearest neighbours (Å) after each atom.
Atoms (fractional coordinates):
Cl1 0.0000 0.0000 0.9835  3 Li 2.44, 3 Mn 2.64
Mn1 0.6667 0.3333 0.3112  3 Cl 2.64, 3 Li 2.92
Li1 0.3333 0.6667 0.7053  3 Cl 2.44

Results
crystal system	trigonal
calculated density	3.2	g/cm3
space group	P3m1
M_tot	4.22	μB/f.u.



Model x:
Entry from Alexandria: a relaxed LiMnCl crystal (GGA-PBEsol).

Unit cell a=3.2741 b=3.1555 c=6.1112 alpha=82.01 beta=74.46 gamma=58.75
With the nearest neighbours (Å) after each atom.
Atoms (fractional coordinates):
Cl1 0.0077 0.0000 0.9846  2 Li 2.34, 2 Mn 2.54
Mn1 0.3423 0.0000 0.3155  2 Cl 2.54, 2 Li 2.79
Li1 0.6501 0.0000 0.6999  2 Cl 2.34

Results
crystal system	orthorhombic
calculated density	3.1	g/cm3
space group	Fmm2
M_tot	4.30	μB/f.u.



Q: Which of them is the least stable? A: model x.



Model w:
Entry from Alexandria: a relaxed LiMoCl2 crystal (GGA-PBEsol).

Unit cell a=3.4974 b=3.4975 c=6.6933 alpha=105.15 beta=104.88 gamma=90.00
With the nearest neighbours (Å) after each atom.
Atoms (fractional coordinates):
Cl1 0.0262 0.0244 0.0487  4 Li 2.50, 1 Mo 2.72
Cl2 0.7343 0.7365 0.4729  4 Mo 2.47
Li1 0.4993 0.4967 0.9934  4 Cl 2.50
Mo1 0.2403 0.2425 0.4849  5 Cl 2.47-2.72

Results
crystal system	monoclinic
calculated density	3.8	g/cm3
space group	Cm
M_tot	3.43	μB/f.u.



Model x:
Entry from Alexandria: a relaxed LiMoCl2 crystal (GGA-PBEsol).

Unit cell a=3.0633 b=3.0633 c=7.9767 alpha=78.93 beta=78.93 gamma=60.00
With the nearest neighbours (Å) after each atom.
Atoms (fractional coordinates):
Mo1 0.0000 0.0000 0.0000  2 Cl 2.33
Li1 0.5000 0.5000 0.5000  6 Cl 2.36
Cl1 0.9001 0.9001 0.2998  1 Mo 2.33, 3 Li 2.36
Cl2 0.0999 0.0999 0.7002  1 Mo 2.33, 3 Li 2.36

Results
crystal system	trigonal
calculated density	4.6	g/cm3
space group	R-3m
M_tot	0.00	μB/f.u.



Q: Which of them is the least stable? A: model w.